TlRh2Br: optimized geometry, PBE.

offset from the most stable computed form	0.48	eV per formula unit
uncorrected formation energy	8.3	kcal/mol of atoms

a = 3.2710 Å, b = 3.2710 Å, c = 24.0742 Å
α = 90.00°, β = 90.00°, γ = 120.00°
Space group R-3m (No. 166, hexagonal axes)
Inequivalent atoms, fractional coordinates:
Tl: 0.0000 0.0000 0.0000 [3 per cell]
Rh: 0.0000 0.0000 0.2476 [6 per cell]
Br: 0.0000 0.0000 0.5000 [3 per cell]

=====

ScAgPd2: optimized geometry, PBE.

offset from the most stable computed form	1.41	eV per formula unit
formation enthalpy at 0 K	-313	meV per atom

a = 7.203 Å, b = 7.203 Å, c = 5.696 Å
α = 90.00°, β = 90.00°, γ = 90.00°
Space group I-42d (No. 122)
Inequivalent atoms, fractional coordinates:
Sc: 0.000 0.000 0.000 [4 per cell]
Ag: 0.000 0.000 0.500 [4 per cell]
Pd: 0.238 0.250 0.125 [8 per cell]

=====

Sm2Dy3Er6: optimized geometry, PBE.

offset from the most stable computed form	0.96	eV per formula unit
formation enthalpy at 0 K	277	meV per atom

a = 4.701 Å, b = 4.701 Å, c = 32.998 Å
α = 90.00°, β = 90.00°, γ = 90.00°
Space group I4/mmm (No. 139)
Inequivalent atoms, fractional coordinates:
Sm: 0.000 0.000 0.046 [4 per cell]
Dy: 0.000 0.000 0.299 [4 per cell]
Dy: 0.000 0.000 0.500 [2 per cell]
Er: 0.000 0.000 0.195 [4 per cell]
Er: 0.000 0.500 0.122 [8 per cell]

=====

Be7Ni3: optimized geometry, PBE.

formation enthalpy at 0 K	-305	meV per atom

a = 11.367 Å, b = 3.578 Å, c = 4.466 Å
α = 90.00°, β = 108.76°, γ = 90.00°
Space group C2/m (No. 12)
Inequivalent atoms, fractional coordinates:
Be: 0.000 0.000 0.000 [2 per cell]
Be: 0.099 0.500 0.385 [4 per cell]
Be: 0.108 0.500 0.889 [4 per cell]
Be: 0.200 0.000 0.784 [4 per cell]
Ni: 0.000 0.000 0.500 [2 per cell]
Ni: 0.198 0.000 0.280 [4 per cell]

=====

TmPaTlHg: optimized geometry, PBE.

formation enthalpy at 0 K	18	meV per atom

a = 7.500 Å, b = 7.500 Å, c = 7.500 Å
α = 90.00°, β = 90.00°, γ = 90.00°
Space group F-43m (No. 216)
Inequivalent atoms, fractional coordinates:
Tm: 0.000 0.000 0.000 [4 per cell]
Pa: 0.000 0.000 0.500 [4 per cell]
Tl: 0.250 0.250 0.750 [4 per cell]
Hg: 0.250 0.250 0.250 [4 per cell]

=====

Cs2SiSeBr: optimized geometry, PBE.

uncorrected formation energy	-14.9	kcal/mol of atoms

a = 6.945 Å, b = 6.945 Å, c = 4.783 Å
α = 90.00°, β = 90.00°, γ = 90.00°
Space group P4/mmm (No. 123)
Inequivalent atoms, fractional coordinates:
Cs: 0.000 0.500 0.000 [2 per cell]
Si: 0.000 0.000 0.000 [1 per cell]
Se: 0.000 0.000 0.500 [1 per cell]
Br: 0.500 0.500 0.500 [1 per cell]

=====

Nd5Ag4Ge: optimized geometry, PBE.

formation enthalpy at 0 K	-336	meV per atom

a = 3.703 Å, b = 3.703 Å, c = 19.062 Å
α = 90.00°, β = 90.00°, γ = 90.00°
Space group P4/mmm (No. 123)
Inequivalent atoms, fractional coordinates:
Nd: 0.000 0.000 0.000 [1 per cell]
Nd: 0.000 0.000 0.202 [2 per cell]
Nd: 0.000 0.000 0.405 [2 per cell]
Ag: 0.500 0.500 0.101 [2 per cell]
Ag: 0.500 0.500 0.299 [2 per cell]
Ge: 0.500 0.500 0.500 [1 per cell]

=====

Er4TmMg5: optimized geometry, PBE.

formation enthalpy at 0 K	-65	meV per atom

a = 3.768 Å, b = 3.768 Å, c = 18.748 Å
α = 90.00°, β = 90.00°, γ = 90.00°
Space group P4/mmm (No. 123)
Inequivalent atoms, fractional coordinates:
Er: 0.000 0.000 0.100 [2 per cell]
Er: 0.000 0.000 0.300 [2 per cell]
Tm: 0.000 0.000 0.500 [1 per cell]
Mg: 0.500 0.500 0.000 [1 per cell]
Mg: 0.500 0.500 0.200 [2 per cell]
Mg: 0.500 0.500 0.401 [2 per cell]

=====

Cd2SiP: optimized geometry, PBE.

offset from the most stable computed form	1.63	eV per formula unit
uncorrected formation energy	10.9	kcal/mol of atoms

a = 4.188 Å, b = 4.664 Å, c = 8.064 Å
α = 90.00°, β = 90.00°, γ = 90.00°
Space group Cmmm (No. 65)
Inequivalent atoms, fractional coordinates:
Cd: 0.000 0.000 0.248 [4 per cell]
Si: 0.000 0.500 0.500 [2 per cell]
P: 0.000 0.500 0.000 [2 per cell]

=====

Ac2HoAg: optimized geometry, PBE.

offset from the most stable computed form	0.58	eV per formula unit
formation enthalpy at 0 K	69	meV per atom

a = 8.171 Å, b = 8.171 Å, c = 8.171 Å
α = 90.00°, β = 90.00°, γ = 90.00°
Space group Fm-3m (No. 225)
Inequivalent atoms, fractional coordinates:
Ac: 0.250 0.250 0.250 [8 per cell]
Ho: 0.000 0.000 0.000 [4 per cell]
Ag: 0.000 0.000 0.500 [4 per cell]

=====

HfRuNO2: optimized geometry, PBE.

uncorrected formation energy	-11.2	kcal/mol of atoms

a = 3.892 Å, b = 3.892 Å, c = 3.815 Å
α = 90.00°, β = 90.00°, γ = 90.00°
Space group P4/mmm (No. 123)
Inequivalent atoms, fractional coordinates:
Hf: 0.000 0.000 0.000 [1 per cell]
Ru: 0.500 0.500 0.500 [1 per cell]
N: 0.500 0.500 0.000 [1 per cell]
O: 0.000 0.500 0.500 [2 per cell]

=====

Zr2Hg2Cl7: optimized geometry, PBE.

uncorrected formation energy	-30.7	kcal/mol of atoms

a = 7.907 Å, b = 11.578 Å, c = 10.720 Å
α = 90.00°, β = 95.77°, γ = 90.00°
Space group C2/m (No. 12)
Inequivalent atoms, fractional coordinates:
Zr: 0.201 0.000 0.077 [4 per cell]
Hg: 0.000 0.165 0.500 [4 per cell]
Cl: 0.000 0.500 0.000 [2 per cell]
Cl: 0.098 0.000 0.849 [4 per cell]
Cl: 0.241 0.323 0.819 [8 per cell]

=====

KCuCl3: optimized geometry, PBE.

uncorrected formation energy	-24.9	kcal/mol of atoms

a = 4.854 Å, b = 4.854 Å, c = 4.854 Å
α = 90.00°, β = 90.00°, γ = 90.00°
Space group P4mm (No. 99)
Inequivalent atoms, fractional coordinates:
K: 0.000 0.000 0.000 [1 per cell]
Cu: 0.500 0.500 0.497 [1 per cell]
Cl: 0.000 0.500 0.498 [2 per cell]
Cl: 0.500 0.500 0.997 [1 per cell]

=====

Cr2HRuPt: optimized geometry, PBE.

offset from the most stable computed form	0.46	eV per formula unit

a = 3.830 Å, b = 3.830 Å, c = 3.778 Å
α = 90.00°, β = 90.00°, γ = 90.00°
Space group P4/mmm (No. 123)
Inequivalent atoms, fractional coordinates:
Cr: 0.000 0.500 0.000 [2 per cell]
H: 0.000 0.000 0.000 [1 per cell]
Ru: 0.500 0.500 0.500 [1 per cell]
Pt: 0.000 0.000 0.500 [1 per cell]

=====

Ac6O8F: optimized geometry, PBE.

uncorrected formation energy	-76.1	kcal/mol of atoms

a = 7.1893 Å, b = 7.1893 Å, c = 18.9551 Å
α = 90.00°, β = 90.00°, γ = 120.00°
Space group R-3 (No. 148, hexagonal axes)
Inequivalent atoms, fractional coordinates:
Ac: 0.0081 0.3544 0.0849 [18 per cell]
O: 0.0000 0.0000 0.3330 [6 per cell]
O: 0.0075 0.3202 0.8842 [18 per cell]
F: 0.0000 0.0000 0.0000 [3 per cell]

=====

CrSi2Ag: optimized geometry, PBE.

offset from the most stable computed form	0.12	eV per formula unit
uncorrected formation energy	4.1	kcal/mol of atoms

a = 3.276 Å, b = 3.276 Å, c = 5.299 Å
α = 90.00°, β = 90.00°, γ = 90.00°
Space group P4mm (No. 99)
Inequivalent atoms, fractional coordinates:
Cr: 0.000 0.000 0.000 [1 per cell]
Si: 0.000 0.000 0.444 [1 per cell]
Si: 0.500 0.500 0.166 [1 per cell]
Ag: 0.500 0.500 0.674 [1 per cell]

=====

ScBiPO2: optimized geometry, PBE.

offset from the most stable computed form	0.00	eV per formula unit
uncorrected formation energy	-26.8	kcal/mol of atoms

a = 4.070 Å, b = 4.070 Å, c = 5.296 Å
α = 90.00°, β = 90.00°, γ = 90.00°
Space group P4/mmm (No. 123)
Inequivalent atoms, fractional coordinates:
Sc: 0.000 0.000 0.000 [1 per cell]
Bi: 0.500 0.500 0.500 [1 per cell]
P: 0.000 0.000 0.500 [1 per cell]
O: 0.000 0.500 0.000 [2 per cell]

=====

RbMgCuCl5: optimized geometry, PBE.

uncorrected formation energy	-30.7	kcal/mol of atoms

a = 8.208 Å, b = 12.050 Å, c = 9.283 Å
α = 90.00°, β = 110.95°, γ = 90.00°
Space group C2/c (No. 15)
Inequivalent atoms, fractional coordinates:
Rb: 0.000 0.167 0.250 [4 per cell]
Mg: 0.000 0.500 0.000 [4 per cell]
Cu: 0.000 0.180 0.750 [4 per cell]
Cl: 0.000 0.437 0.250 [4 per cell]
Cl: 0.075 0.300 0.592 [8 per cell]
Cl: 0.168 0.061 0.934 [8 per cell]

=====

LaTh2Cd: optimized geometry, PBE.

offset from the most stable computed form	0.18	eV per formula unit
formation enthalpy at 0 K	27	meV per atom

a = 3.642 Å, b = 3.642 Å, c = 9.501 Å
α = 90.00°, β = 90.00°, γ = 90.00°
Space group P4/mmm (No. 123)
Inequivalent atoms, fractional coordinates:
La: 0.000 0.000 0.000 [1 per cell]
Th: 0.500 0.500 0.273 [2 per cell]
Cd: 0.000 0.000 0.500 [1 per cell]

=====

KLiOsBr6: optimized geometry, PBE.

uncorrected formation energy	-17.8	kcal/mol of atoms

a = 6.8617 Å, b = 6.8617 Å, c = 14.4954 Å
α = 90.00°, β = 90.00°, γ = 120.00°
Space group P-31c (No. 163)
Inequivalent atoms, fractional coordinates:
K: 0.0000 0.0000 0.0000 [2 per cell]
Li: 0.3333 0.6667 0.2500 [2 per cell]
Os: 0.3333 0.6667 0.7500 [2 per cell]
Br: 0.0245 0.3796 0.6501 [12 per cell]

=====

CrTe3Ru: optimized geometry, PBE.

offset from the most stable computed form	0.63	eV per formula unit
uncorrected formation energy	28.2	kcal/mol of atoms

a = 5.139 Å, b = 5.139 Å, c = 5.139 Å
α = 90.00°, β = 90.00°, γ = 90.00°
Space group Pm-3m (No. 221)
Inequivalent atoms, fractional coordinates:
Cr: 0.000 0.000 0.000 [1 per cell]
Te: 0.000 0.500 0.500 [3 per cell]
Ru: 0.500 0.500 0.500 [1 per cell]

=====

HoEr12In3: optimized geometry, PBE.

formation enthalpy at 0 K	-188	meV per atom

a = 4.822 Å, b = 4.822 Å, c = 19.573 Å
α = 90.00°, β = 90.00°, γ = 90.00°
Space group P4/mmm (No. 123)
Inequivalent atoms, fractional coordinates:
Ho: 0.000 0.000 0.000 [1 per cell]
Er: 0.000 0.500 0.130 [4 per cell]
Er: 0.000 0.500 0.377 [4 per cell]
Er: 0.500 0.500 0.000 [1 per cell]
Er: 0.500 0.500 0.255 [2 per cell]
Er: 0.500 0.500 0.500 [1 per cell]
In: 0.000 0.000 0.256 [2 per cell]
In: 0.000 0.000 0.500 [1 per cell]

=====

ZnSbAu2: optimized geometry, PBE.

offset from the most stable computed form	0.40	eV per formula unit
uncorrected formation energy	0.8	kcal/mol of atoms

a = 4.020 Å, b = 4.412 Å, c = 4.428 Å
α = 90.00°, β = 90.00°, γ = 90.00°
Space group Pmmm (No. 47)
Inequivalent atoms, fractional coordinates:
Zn: 0.000 0.000 0.000 [1 per cell]
Sb: 0.000 0.500 0.500 [1 per cell]
Au: 0.500 0.000 0.500 [1 per cell]
Au: 0.500 0.500 0.000 [1 per cell]

=====

CsPmAgSe2: optimized geometry, PBE.

uncorrected formation energy	-24.5	kcal/mol of atoms

a = 8.354 Å, b = 5.073 Å, c = 8.417 Å
α = 90.00°, β = 96.77°, γ = 90.00°
Space group P2/c (No. 13)
Inequivalent atoms, fractional coordinates:
Cs: 0.000 0.109 0.250 [2 per cell]
Pm: 0.500 0.495 0.750 [2 per cell]
Ag: 0.500 0.000 0.000 [2 per cell]
Se: 0.271 0.382 0.974 [4 per cell]

=====

no.,calculated total energy (eV/atom),DOS(E_F) (states/eV/atom)
1,-4.33,0.994
2,-5.21,0.203
3,-4.33,1.536
4,-4.65,0.299
5,-4.14,2.218
6,-3.10,0.315
7,-4.32,0.834
8,-3.13,1.392
9,-2.69,0.329
10,-3.84,0.799
11,-7.98,0.795
12,-4.12,0.064
13,-3.23,0.362
14,-7.56,0.859
15,-7.71,0.087
16,-5.65,0.456
17,-6.27,0.847
18,-3.32,0.200
19,-5.14,1.034
20,-3.47,0.727
21,-4.44,1.375
22,-4.41,1.138
23,-2.95,0.338
24,-4.15,0.146